A plane-wave DFT calculation with GGA-PBE was carried out for crystalline ZrTc2Cl at its relaxed geometry.

Results
**Calculated volume**: 68.3 Å³/cell
**Energy above the lowest structure with this stoichiometry**: 421 meV per atom
**Formation energy without anion corrections**: 0.202 eV per atom
**Space-group type**: P2/m (10)

Cell lengths 2.988, 5.105, 4.482 Å; angles 90.00, 92.12, 90.00 degrees
Atoms (fractional coordinates):
Zr (0.000, 0.000, 0.000)
Tc (0.322, 0.500, 0.243)
Tc (0.678, 0.500, 0.757)
Cl (0.500, 0.000, 0.500)